# MgMnTl2 GGA-PBEsol relaxed
# * ΔE_f: 109 kJ/mol of formula units
# * E_tot: -3.90 eV per atom
data_MgMnTl2
_cell_length_a 3.262
_cell_length_b 4.673
_cell_length_c 11.446
_cell_angle_alpha 90.00
_cell_angle_beta 90.00
_cell_angle_gamma 90.00
_symmetry_space_group_name_H-M 'I m m 2'
_symmetry_Int_Tables_number 44
loop_
_symmetry_equiv_pos_as_xyz
'x,y,z'
'-x,-y,z'
'-x,y,z'
'x,-y,z'
'x+1/2,y+1/2,z+1/2'
'-x+1/2,-y+1/2,z+1/2'
'-x+1/2,y+1/2,z+1/2'
'x+1/2,-y+1/2,z+1/2'
loop_
_atom_site_label
_atom_site_fract_x
_atom_site_fract_y
_atom_site_fract_z
Mg1 0.000 0.000 0.000
Mn1 0.000 0.500 0.292
Tl1 0.000 0.000 0.581
Tl2 0.000 0.500 0.802